{
  "formula": "CrCo2Ir",
  "functional": "meta-GGA SCAN",
  "state": "PBEsol geometry",
  "cell": [[2.5461, 0.0000, 0.0000], [0.0000, 4.3562, 0.0044], [0.0000, -1.4905, 4.0933]],
  "species": ["Co", "Co", "Cr", "Ir"],
  "fractional_positions": [[0.0000, 0.5000, 0.0000], [0.0000, 0.0000, 0.5000], [0.5000, 0.0000, 0.0000], [0.5000, 0.5000, 0.5000]],
  "spacegroup": "No. 65"
}

---

{
  "formula": "LiAgAs3",
  "functional": "meta-GGA SCAN",
  "state": "PBEsol geometry",
  "cell": [[-0.3690, -3.0307, 3.3383], [1.4342, -3.2544, -2.7960], [4.2746, 0.8303, 1.2263]],
  "species": ["As", "As", "As", "Li", "Ag"],
  "fractional_positions": [[0.0000, 0.5000, 0.0000], [0.0000, 0.0000, 0.5000], [0.5000, 0.0000, 0.0000], [0.0000, 0.0000, 0.0000], [0.5000, 0.5000, 0.5000]],
  "spacegroup": "No. 221"
}

---

{
  "formula": "K2BePb",
  "functional": "meta-GGA SCAN",
  "state": "PBEsol geometry",
  "cell": [[5.6936, 0.0000, 0.0000], [2.8468, 4.9308, 0.0000], [2.8468, 1.6436, 4.6488]],
  "species": ["K", "K", "Pb", "Be"],
  "fractional_positions": [[0.7500, 0.7500, 0.7500], [0.2500, 0.2500, 0.2500], [0.5000, 0.5000, 0.5000], [0.0000, 0.0000, 0.0000]],
  "spacegroup": "No. 225"
}

---

Calculated formation energy (meV per atom)
74.5 575.6 553.4
VASP energy (eV/f.u.)
-123.794 -91.451 -94.579